# 1
BaW4Au (PBE-GGA, optimized geometry); space group = F-43m; energy of formation = 1034 meV per atom
1.0
4.890 0.609 2.561
0.166 1.233 5.412
1.709 -3.807 3.664
W Au Ba
4 1 1
direct
0.375 0.375 0.876
0.876 0.375 0.375
0.375 0.876 0.375
0.375 0.375 0.375
0.750 0.750 0.750
0.000 0.000 0.000


# 2
Sr2Sn3Au (PBE-GGA, optimized geometry); space group = Cm; energy of formation = -580 meV per atom
1.0
4.553 0.000 1.907
1.981 5.874 1.659
-0.043 0.021 6.493
Sn Au Sr
3 1 2
direct
0.861 0.596 0.683
0.821 0.246 0.112
0.159 0.768 0.913
0.165 0.387 0.283
0.439 0.811 0.311
0.555 0.192 0.698


# 3
Hg2WBr (PBE-GGA, optimized geometry); formation energy (no corrections) = 1.14 eV per atom; space group = I-42d; relative energy among the computed polymorphs = 639 meV per atom
1.0
-0.929 3.813 -1.336
-3.550 -1.424 -1.598
-7.477 3.328 8.267
Hg W Br
4 2 2
direct
0.637 0.125 0.250
0.375 0.363 0.750
0.113 0.625 0.250
0.875 0.887 0.750
0.000 0.000 0.000
0.750 0.250 0.500
0.500 0.500 0.000
0.250 0.750 0.500


# 4
Er3GaSi2 (PBE-GGA, optimized geometry); formation energy (no corrections) = -0.68 eV per atom; space group = Pnma
1.0
4.098 0.000 0.000
0.000 11.350 0.000
0.000 0.000 11.372
Er Si Ga
12 8 4
direct
0.750 0.302 0.799
0.250 0.437 0.374
0.750 0.620 0.946
0.750 0.937 0.126
0.750 0.563 0.626
0.750 0.198 0.299
0.250 0.063 0.874
0.250 0.120 0.554
0.250 0.380 0.054
0.250 0.802 0.701
0.750 0.880 0.446
0.250 0.698 0.201
0.250 0.000 0.313
0.250 0.685 0.482
0.750 0.000 0.687
0.750 0.315 0.518
0.750 0.500 0.187
0.750 0.185 0.018
0.250 0.500 0.813
0.250 0.815 0.982
0.250 0.367 0.635
0.250 0.133 0.135
0.750 0.867 0.865
0.750 0.633 0.365


# 5
DyTlO2 (PBE-GGA, optimized geometry); formation energy (no corrections) = -2.36 eV per atom; space group = R3m; relative energy among the computed polymorphs = 11 meV per atom
1.0
3.513 0.000 0.000
1.756 3.042 0.000
1.756 1.014 6.753
Dy O Tl
1 2 1
direct
0.665 0.665 0.005
0.063 0.063 0.810
0.286 0.286 0.141
0.485 0.485 0.545


# 6
LiTaS2 (PBE-GGA, optimized geometry); formation energy (no corrections) = -0.76 eV per atom; space group = P1
1.0
4.129 -0.451 -0.020
-2.438 3.361 0.016
0.003 -0.014 6.420
S Li Ta
2 1 1
direct
0.721 0.513 0.064
0.418 0.810 0.573
0.422 0.813 0.174
0.717 0.513 0.708


# 7
Pr2ErMg4 (PBE-GGA, optimized geometry); space group = I4/mmm; relative energy among the computed polymorphs = 397 meV per atom; energy of formation = 514 meV per atom
1.0
5.573 0.000 0.000
0.000 5.573 0.000
-2.786 -2.786 8.219
Pr Mg Er
2 4 1
direct
0.391 0.391 0.782
0.609 0.609 0.218
0.183 0.183 0.367
0.000 0.500 0.000
0.500 0.000 0.000
0.817 0.817 0.633
0.000 0.000 0.000


# 8
Tm2Al5Pd4 (PBE-GGA, optimized geometry); space group = Fmmm; energy of formation = -810 meV per atom
1.0
-4.504 -1.514 -2.507
-0.331 -4.776 -2.279
-5.094 -3.902 5.750
Al Tm Pd
5 2 4
direct
0.500 0.000 0.000
0.250 0.500 0.500
0.750 0.500 0.500
0.500 0.500 0.000
0.000 0.500 0.000
0.123 0.000 0.753
0.877 0.000 0.247
0.208 0.325 0.259
0.467 0.325 0.741
0.533 0.675 0.259
0.792 0.675 0.741


# 9
Pr2Dy5Ho4 (PBE-GGA, optimized geometry); space group = Immm; relative energy among the computed polymorphs = 50 meV per atom; energy of formation = 202 meV per atom
1.0
-2.349 2.553 -0.361
-6.032 -4.310 8.775
8.974 6.107 1.650
Dy Ho Pr
5 4 2
direct
0.178 0.467 0.355
0.822 0.533 0.645
0.822 0.111 0.645
0.178 0.889 0.355
0.500 0.000 0.000
0.000 0.275 0.000
0.590 0.590 0.179
0.410 0.410 0.821
0.000 0.725 0.000
0.797 0.797 0.594
0.203 0.203 0.406


# 10
BaSrOs2 (PBE-GGA, optimized geometry); space group = I4/mmm; relative energy among the computed polymorphs = 1138 meV per atom; energy of formation = 1330 meV per atom
1.0
-0.824 -2.631 -5.025
4.249 -3.561 -1.458
-3.177 0.746 4.712
Os Ba Sr
2 1 1
direct
0.500 0.500 0.000
0.000 0.000 0.000
0.750 0.250 0.500
0.250 0.750 0.500


# 11
GdEr2H (PBE-GGA, optimized geometry); space group = P4/mmm; relative energy among the computed polymorphs = 156 meV per atom
1.0
3.321 0.000 0.000
0.000 3.321 0.000
0.000 0.000 8.454
Er Gd H
2 1 1
direct
0.000 0.000 0.191
0.000 0.000 0.809
0.500 0.500 0.500
0.500 0.500 0.000


# 12
Hg2MoIr (PBE-GGA, optimized geometry); space group = Pmmm; relative energy among the computed polymorphs = 446 meV per atom; energy of formation = 621 meV per atom
1.0
2.948 0.000 0.000
0.000 4.939 0.000
0.000 0.000 4.966
Hg Ir Mo
2 1 1
direct
0.000 0.000 0.000
0.500 0.500 0.000
0.500 0.000 0.500
0.000 0.500 0.500


# 13
PmTmP2 (PBE-GGA, optimized geometry); space group = Fm-3m; relative energy among the computed polymorphs = 538 meV per atom; energy of formation = -1038 meV per atom
1.0
-2.819 1.105 -3.902
-4.920 0.040 0.439
-2.457 4.282 -0.138
P Tm Pm
2 1 1
direct
0.750 0.750 0.750
0.250 0.250 0.250
0.500 0.500 0.500
0.000 0.000 0.000


no.,D(E_F) (states/eV per atom)
1,0.679
2,0.564
3,0.426
4,0.542
5,0.000
6,0.325
7,1.322
8,0.404
9,1.211
10,0.992
11,1.037
12,0.711
13,0.354